(1)
{"formula": "AcSm2Ru", "functional": "PBE", "state": "optimized geometry", "cell": [[3.570, 0.000, 0.000], [0.000, 3.570, 0.000], [0.000, 0.000, 9.509]], "species": ["Ac", "Sm", "Sm", "Ru"], "fractional_positions": [[0.000, 0.000, 0.000], [0.500, 0.500, 0.326], [0.500, 0.500, 0.674], [0.000, 0.000, 0.500]], "spacegroup": "No. 123", "ef_ev_per_atom": -0.096, "total_magnetization_mub_per_atom": 0.00}


(2)
{"formula": "UTl2AsO6", "functional": "PBE", "state": "optimized geometry", "cell": [[0.000, 4.173, 4.173], [4.173, 0.000, 4.173], [4.173, 4.173, 0.000]], "species": ["U", "Tl", "Tl", "As", "O", "O", "O", "O", "O", "O"], "fractional_positions": [[0.000, 0.000, 0.000], [0.250, 0.250, 0.250], [0.750, 0.750, 0.750], [0.500, 0.500, 0.500], [0.254, 0.254, 0.746], [0.254, 0.746, 0.254], [0.254, 0.746, 0.746], [0.746, 0.254, 0.254], [0.746, 0.254, 0.746], [0.746, 0.746, 0.254]], "spacegroup": "No. 225", "formation_energy_uncorrected_kj_per_mol_fu": -1599, "total_magnetization_mub_per_atom": 0.00}


(3)
{"formula": "TbSnHgPd", "functional": "PBE", "state": "optimized geometry", "cell": [[7.068, 0.000, 0.000], [0.000, 7.068, 0.000], [0.000, 0.000, 7.068]], "species": ["Tb", "Tb", "Tb", "Tb", "Sn", "Sn", "Sn", "Sn", "Hg", "Hg", "Hg", "Hg", "Pd", "Pd", "Pd", "Pd"], "fractional_positions": [[0.000, 0.000, 0.000], [0.000, 0.500, 0.500], [0.500, 0.000, 0.500], [0.500, 0.500, 0.000], [0.000, 0.000, 0.500], [0.000, 0.500, 0.000], [0.500, 0.000, 0.000], [0.500, 0.500, 0.500], [0.250, 0.250, 0.750], [0.250, 0.750, 0.250], [0.750, 0.250, 0.250], [0.750, 0.750, 0.750], [0.250, 0.250, 0.250], [0.250, 0.750, 0.750], [0.750, 0.250, 0.750], [0.750, 0.750, 0.250]], "spacegroup": "No. 216", "ef_ev_per_atom": -0.565, "total_magnetization_mub_per_atom": 0.00}


(4)
{"formula": "CsAgSnBr6", "functional": "PBE", "state": "optimized geometry", "cell": [[7.307, 0.000, 0.000], [-3.654, 6.328, 0.000], [0.000, 0.000, 8.039]], "species": ["Cs", "Ag", "Sn", "Br", "Br", "Br", "Br", "Br", "Br"], "fractional_positions": [[0.000, 0.000, 0.000], [0.333, 0.667, 0.500], [0.667, 0.333, 0.500], [0.383, 0.025, 0.693], [0.383, 0.358, 0.307], [0.642, 0.025, 0.307], [0.642, 0.617, 0.693], [0.975, 0.358, 0.693], [0.975, 0.617, 0.307]], "spacegroup": "No. 149", "formation_energy_uncorrected_kj_per_mol_fu": -727, "total_magnetization_mub_per_atom": 0.00}


(5)
{"formula": "MnGaBi3", "functional": "PBE", "state": "optimized geometry", "cell": [[5.340, 0.000, 0.000], [0.000, 5.340, 0.000], [0.000, 0.000, 5.340]], "species": ["Mn", "Ga", "Bi", "Bi", "Bi"], "fractional_positions": [[0.000, 0.000, 0.000], [0.500, 0.500, 0.500], [0.000, 0.500, 0.500], [0.500, 0.000, 0.500], [0.500, 0.500, 0.000]], "spacegroup": "No. 221", "ef_ev_per_atom": 1.350, "total_magnetization_mub_per_atom": 0.02}


(6)
{"formula": "PuIn2Cl5", "functional": "PBE", "state": "optimized geometry", "cell": [[13.107, 0.000, 0.000], [0.000, 8.732, 0.000], [0.000, 0.000, 8.210]], "species": ["Pu", "Pu", "Pu", "Pu", "In", "In", "In", "In", "In", "In", "In", "In", "Cl", "Cl", "Cl", "Cl", "Cl", "Cl", "Cl", "Cl", "Cl", "Cl", "Cl", "Cl", "Cl", "Cl", "Cl", "Cl", "Cl", "Cl", "Cl", "Cl"], "fractional_positions": [[0.002, 0.250, 0.065], [0.498, 0.750, 0.565], [0.502, 0.250, 0.435], [0.998, 0.750, 0.935], [0.170, 0.003, 0.547], [0.170, 0.497, 0.547], [0.330, 0.503, 0.047], [0.330, 0.997, 0.047], [0.670, 0.003, 0.953], [0.670, 0.497, 0.953], [0.830, 0.503, 0.453], [0.830, 0.997, 0.453], [0.006, 0.250, 0.411], [0.077, 0.540, 0.161], [0.077, 0.960, 0.161], [0.180, 0.250, 0.888], [0.200, 0.750, 0.842], [0.300, 0.250, 0.342], [0.320, 0.750, 0.388], [0.423, 0.040, 0.661], [0.423, 0.460, 0.661], [0.494, 0.750, 0.911], [0.506, 0.250, 0.089], [0.577, 0.540, 0.339], [0.577, 0.960, 0.339], [0.680, 0.250, 0.612], [0.700, 0.750, 0.658], [0.800, 0.250, 0.158], [0.820, 0.750, 0.112], [0.923, 0.040, 0.839], [0.923, 0.460, 0.839], [0.994, 0.750, 0.589]], "spacegroup": "No. 62", "formation_energy_uncorrected_kj_per_mol_fu": -1067, "total_magnetization_mub_per_atom": 0.63}


(7)
{"formula": "Fe4TeRu", "functional": "PBE", "state": "optimized geometry", "cell": [[0.000, 3.472, 3.472], [3.472, 0.000, 3.472], [3.472, 3.472, 0.000]], "species": ["Fe", "Fe", "Fe", "Fe", "Te", "Ru"], "fractional_positions": [[0.124, 0.124, 0.124], [0.124, 0.124, 0.627], [0.124, 0.627, 0.124], [0.627, 0.124, 0.124], [0.500, 0.500, 0.500], [0.750, 0.750, 0.750]], "spacegroup": "No. 216", "formation_energy_uncorrected_kj_per_mol_fu": 184, "total_magnetization_mub_per_atom": 1.93}


(8)
{"formula": "Sr4LiRh3O12", "functional": "PBE", "state": "optimized geometry", "cell": [[-3.993, 3.993, 3.993], [3.993, -3.993, 3.993], [3.993, 3.993, -3.993]], "species": ["Sr", "Sr", "Sr", "Sr", "Li", "Rh", "Rh", "Rh", "O", "O", "O", "O", "O", "O", "O", "O", "O", "O", "O", "O"], "fractional_positions": [[0.000, 0.000, 0.500], [0.000, 0.500, 0.000], [0.500, 0.000, 0.000], [0.500, 0.500, 0.500], [0.000, 0.000, 0.000], [0.000, 0.500, 0.500], [0.500, 0.000, 0.500], [0.500, 0.500, 0.000], [0.000, 0.259, 0.259], [0.000, 0.741, 0.741], [0.250, 0.500, 0.750], [0.250, 0.750, 0.500], [0.259, 0.000, 0.259], [0.259, 0.259, 0.000], [0.500, 0.250, 0.750], [0.500, 0.750, 0.250], [0.741, 0.000, 0.741], [0.741, 0.741, 0.000], [0.750, 0.250, 0.500], [0.750, 0.500, 0.250]], "spacegroup": "No. 229", "formation_energy_uncorrected_kj_per_mol_fu": -3087, "total_magnetization_mub_per_atom": 0.36}